[1]
! TbPaTcHg PBE optimized geometry; values from VASP
&SYSTEM
  ibrav = 0, nat = 4, ntyp = 4
/
ATOMIC_SPECIES
Tc 98.00 Tc.upf
Hg 200.59 Hg.upf
Tb 158.93 Tb.upf
Pa 231.04 Pa.upf
CELL_PARAMETERS angstrom
-2.7721 3.3212 -2.6263
-4.9082 -0.9045 -0.8393
-3.5219 2.7736 2.3487
ATOMIC_POSITIONS crystal
Tc 0.2500 0.2500 0.2500
Hg 0.7500 0.7500 0.7500
Tb 0.0000 0.0000 0.0000
Pa 0.5000 0.5000 0.5000
! - calculated formation energy (eV per atom) = 0.02
! - total magnetic moment (μB per atom) = 0.000
! - DFT total energy (eV per atom) = -6.183
! - symmetry = F-43m, No. 216

[2]
! YPaTcHg PBE optimized geometry; values from VASP
&SYSTEM
  ibrav = 0, nat = 4, ntyp = 4
/
ATOMIC_SPECIES
Y 88.91 Y.upf
Pa 231.04 Pa.upf
Tc 98.00 Tc.upf
Hg 200.59 Hg.upf
CELL_PARAMETERS angstrom
-3.4437 -0.1805 3.7010
-4.9260 -0.1847 -1.1356
-2.6243 -4.2484 0.8080
ATOMIC_POSITIONS crystal
Y 0.0000 0.0000 0.0000
Pa 0.5000 0.5000 0.5000
Tc 0.7500 0.7500 0.7500
Hg 0.2500 0.2500 0.2500
! - calculated formation energy (eV per atom) = 0.01
! - total magnetic moment (μB per atom) = 0.000
! - DFT total energy (eV per atom) = -6.646
! - symmetry = F-43m, No. 216

[3]
! PaHgTe4 PBE optimized geometry; values from VASP
&SYSTEM
  ibrav = 0, nat = 12, ntyp = 3
/
ATOMIC_SPECIES
Te 127.60 Te.upf
Pa 231.04 Pa.upf
Hg 200.59 Hg.upf
CELL_PARAMETERS angstrom
8.0224 0.0000 -0.1982
0.0000 7.7832 0.0000
-0.3971 0.0000 6.7850
ATOMIC_POSITIONS crystal
Te 0.3839 0.3880 0.3978
Te 0.3369 0.8367 0.0758
Te 0.1161 0.8880 0.6022
Te 0.1631 0.3367 0.9242
Te 0.8369 0.6633 0.0758
Te 0.6161 0.6120 0.6022
Te 0.6631 0.1633 0.9242
Te 0.8839 0.1120 0.3978
Pa 0.0000 0.0000 0.0000
Pa 0.5000 0.5000 0.0000
Hg 0.0000 0.5000 0.5000
Hg 0.5000 0.0000 0.5000
! - total magnetic moment (μB per atom) = 0.000
! - DFT total energy (eV per atom) = -4.059
! - ΔE_f (raw) (eV/atom) = -0.33
! - symmetry = P2_1/c, No. 14

[4]
! PaHg2Te PBE optimized geometry; values from VASP
&SYSTEM
  ibrav = 0, nat = 4, ntyp = 3
/
ATOMIC_SPECIES
Hg 200.59 Hg.upf
Pa 231.04 Pa.upf
Te 127.60 Te.upf
CELL_PARAMETERS angstrom
-0.1551 -3.3164 0.4876
2.7002 -1.9082 -0.5731
3.9442 -0.3990 10.0880
ATOMIC_POSITIONS crystal
Hg 0.7491 0.7491 0.7526
Hg 0.2509 0.2509 0.2474
Pa 0.0000 0.0000 0.0000
Te 0.5000 0.5000 0.5000
! - total magnetic moment (μB per atom) = 0.108
! - DFT total energy (eV per atom) = -3.196
! - ΔE_f (raw) (eV/atom) = 0.11
! - symmetry = R-3m, No. 166